PBE TaTlOs2, optimized geometry; spin magnetization = 0.00 μB/cell; total energy = -33.4 eV per cell; formation energy from the elements = 0.83 eV/atom; volume = 17.1 Å³/atom
1.0
4.5907 0.0000 0.0000
2.2953 3.9756 0.0000
2.2953 1.3252 3.7483
Os Ta Tl
2 1 1
Direct
0.7500 0.7500 0.7500
0.0000 0.0000 0.0000
0.5000 0.5000 0.5000
0.2500 0.2500 0.2500